Entry 1:
The following is a meta-GGA SCAN calculation of MoWNO2 at its PBEsol-relaxed geometry, from Alexandria via LeMat-Bulk. Values from VASP.

Magnetic moment   4.0 μB/f.u.
Formation energy from raw total energies   -0.499 eV per atom

```
&SYSTEM
  ibrav = 0, nat = 5, ntyp = 4
/
ATOMIC_SPECIES
Mo 95.94 Mo.upf
O 16.00 O.upf
W 183.84 W.upf
N 14.01 N.upf
CELL_PARAMETERS angstrom
-3.4771 -0.7729 1.4224
1.4730 -0.1129 3.5395
-0.7094 3.9681 0.4218
ATOMIC_POSITIONS angstrom
Mo -1.3568 1.5412 2.6918
O 0.7365 -0.0565 1.7698
O -1.7385 -0.3864 0.7112
W 0.0000 0.0000 0.0000
N -0.3547 1.9841 0.2109
```

=====

Entry 2:
The following is a meta-GGA SCAN calculation of MoOsN2 at its PBEsol-relaxed geometry, from Alexandria via LeMat-Bulk. Values from VASP.

Magnetic moment   0.0 μB/f.u.
Formation energy from raw total energies   1.032 eV per atom

```
&SYSTEM
  ibrav = 0, nat = 4, ntyp = 3
/
ATOMIC_SPECIES
Mo 95.94 Mo.upf
Os 190.23 Os.upf
N 14.01 N.upf
CELL_PARAMETERS angstrom
-0.2378 3.6563 0.9853
-3.3980 1.6413 0.3948
-1.2551 0.9572 3.4503
ATOMIC_POSITIONS angstrom
Mo 0.0000 0.0000 0.0000
Os -2.4454 3.1274 2.4153
N -1.2227 1.5637 1.2076
N -3.6682 4.6911 3.6229
```